The following is a DFT calculation (PBE with a Hubbard U) of a geometry-optimized K2PaNiO6 structure.

Computed properties:
DFT total energy: -6.226 eV/atom

a b c (Å): 5.804 5.804 8.198
angles (deg): 90.00 90.00 90.00
Space group I4/mmm (No. 139)
Asymmetric unit:
K 0.000 0.500 0.250
Pa 0.000 0.000 0.000
Ni 0.000 0.000 0.500
O 0.000 0.000 0.260
O 0.240 0.240 0.500